# TbPbSe

A relaxed structure of TbPbSe (PBE, Alexandria).

N(E_F), states/eV per atom: 0.928
Raw total energy, eV per atom: -4.874
Crystal system: tetragonal

Cell: 3.8150 3.8150 6.4354 Å, 107.24 107.24 90.00°
Fractional coordinates of all 3 atoms:
Pb 0.0116 0.0116 0.0233
Tb 0.7041 0.7041 0.4083
Se 0.2842 0.2842 0.5685